DFT (PBE with a Hubbard U) results for crystalline CaGaCoO2 at its relaxed geometry.

Cell: 4.1239 4.1239 4.3584 Å, 90.00 90.00 90.00°
Element x y z (fractional)
Ca: 0.0000 0.0000 0.0000
Ga: 0.5000 0.5000 0.0000
Co: 0.5000 0.5000 0.5000
O: 0.0000 0.5000 0.5000
O: 0.5000 0.0000 0.5000

- Calculated volume: 74.1 Å³ per cell
- Space-group type: P4/mmm (123)
- Uncorrected energy: -4.605 eV/atom